[1]
A plane-wave DFT calculation with PBE-GGA was carried out for crystalline La4CdHg2Pd at its relaxed geometry.

abc: 9.3728 9.3728 9.3728
angles: 33.99 33.99 33.99
With the nearest neighbours (Å) after each atom.
Element x y z (fractional)
La 0.1151 0.1151 0.1151  1 Pd 3.05, 4 Hg 3.22-3.31
La 0.3679 0.3679 0.3679  3 Pd 3.29, 4 Hg 3.38-3.52, 1 Cd 3.50, 3 La 3.65
La 0.6321 0.6321 0.6321  3 Pd 3.29, 4 Hg 3.38-3.52, 1 Cd 3.50, 3 La 3.65
La 0.8849 0.8849 0.8849  1 Pd 3.05, 4 Hg 3.22-3.31
Cd 0.5000 0.5000 0.5000  8 La 3.44-3.50, 6 Hg 3.71
Hg 0.2402 0.2402 0.2402  8 La 3.22-3.52
Hg 0.7598 0.7598 0.7598  8 La 3.22-3.52
Pd 0.0000 0.0000 0.0000  8 La 3.05-3.29

Output
Space group   No. 166

---

[2]
A plane-wave DFT calculation with PBE-GGA was carried out for crystalline La2CdHg2Pd5 at its relaxed geometry.

abc: 10.3690 10.3690 3.9679
angles: 90.00 90.00 90.00
With the nearest neighbours (Å) after each atom.
Element x y z (fractional)
La 0.1712 0.3288 0.0000  3 Hg 2.95-3.13, 6 Pd 3.20-3.26
La 0.3288 0.8288 0.0000  3 Hg 2.95-3.13, 6 Pd 3.20-3.26
La 0.6712 0.1712 0.0000  3 Hg 2.95-3.13, 6 Pd 3.20-3.26
La 0.8288 0.6712 0.0000  3 Hg 2.95-3.13, 6 Pd 3.20-3.26
Cd 0.0000 0.0000 0.0000  8 Pd 2.89
Cd 0.5000 0.5000 0.0000  8 Pd 2.89
Hg 0.1276 0.6276 0.0000  6 Pd 2.73-2.82, 1 La 2.95
Hg 0.3724 0.1276 0.0000  6 Pd 2.73-2.82, 1 La 2.95
Hg 0.6276 0.8724 0.0000  6 Pd 2.73-2.82, 1 La 2.95
Hg 0.8724 0.3724 0.0000  6 Pd 2.73-2.82, 1 La 2.95
Pd 0.0000 0.5000 0.5000  4 Hg 2.73
Pd 0.0414 0.8010 0.5000  2 Hg 2.82, 2 Cd 2.89, 3 Pd 2.98-3.15
Pd 0.1990 0.0414 0.5000  2 Hg 2.82, 2 Cd 2.89, 3 Pd 2.98-3.15
Pd 0.3010 0.5414 0.5000  2 Hg 2.82, 2 Cd 2.89, 3 Pd 2.98-3.15
Pd 0.4586 0.3010 0.5000  2 Hg 2.82, 2 Cd 2.89, 3 Pd 2.98-3.15
Pd 0.5000 0.0000 0.5000  4 Hg 2.73
Pd 0.5414 0.6990 0.5000  2 Hg 2.82, 2 Cd 2.89, 3 Pd 2.98-3.15
Pd 0.6990 0.4586 0.5000  2 Hg 2.82, 2 Cd 2.89, 3 Pd 2.98-3.15
Pd 0.8010 0.9586 0.5000  2 Hg 2.82, 2 Cd 2.89, 3 Pd 2.98-3.15
Pd 0.9586 0.1990 0.5000  2 Hg 2.82, 2 Cd 2.89, 3 Pd 2.98-3.15

Output
Space group   No. 127

---

Values for energy relative to the elements, eV per atom, ordered as above
-0.5220 -0.4691
Values for total energy, eV/atom, ordered as above
-3.82 -4.20